MgFeSnO4 after structural relaxation, computed with PBE with a Hubbard U.

Unit cell a=6.1133 b=6.3305 c=8.8957 alpha=90.00 beta=90.00 gamma=90.00
Space group Imma (No. 74)
Unique sites:
Mg1 0.0000 0.2500 0.1386 x4
Fe1 0.2500 0.2500 0.7500 x4
Sn1 0.0000 0.0000 0.5000 x4
O1 0.0000 0.0120 0.7322 x8
O2 0.2341 0.2500 0.4998 x8

Values from the calculation:
- mass density (g/cm3) = 5.1
- total magnetic moment (μB per cell) = 16.021
- E (eV/atom) = -6.328